[1]
Material: TiBeSn3
Method: DFT, GGA-PBE
State: relaxed

Unit cell a=4.8695 b=4.8695 c=4.8695 alpha=90.00 beta=90.00 gamma=90.00
Closest atoms and distances in Å follow each position.
Atoms (fractional coordinates):
Sn (0.0000, 0.0000, 0.5000)  2 Be 2.43
Sn (0.0000, 0.5000, 0.0000)  2 Be 2.43
Sn (0.5000, 0.0000, 0.0000)  2 Be 2.43
Ti (0.5000, 0.5000, 0.5000)  12 Sn 3.44
Be (0.0000, 0.0000, 0.0000)  6 Sn 2.43

=====

[2]
Material: Ba2PbC
Method: DFT, GGA-PBE
State: relaxed

Unit cell a=8.8788 b=8.8788 c=7.1612 alpha=51.69 beta=51.69 gamma=90.00
Closest atoms and distances in Å follow each position.
Atoms (fractional coordinates):
Ba (0.2206, 0.6250, 0.2500)  2 C 2.75
Ba (0.3750, 0.4706, 0.7500)  2 C 2.75
Ba (0.5294, 0.1250, 0.2500)  2 C 2.75
Ba (0.8750, 0.7794, 0.7500)  2 C 2.75
C (0.2500, 0.7500, 0.5000)  4 Ba 2.75
C (0.5000, 0.5000, 0.0000)  4 Ba 2.75
Pb (0.7500, 0.2500, 0.5000)  2 C 3.44, 4 Ba 3.67
Pb (0.0000, 0.0000, 0.0000)  2 C 3.44, 4 Ba 3.67

=====

[3]
Material: Ho2AlGa3
Method: DFT, GGA-PBE
State: relaxed

Unit cell a=4.2677 b=5.8193 c=5.7496 alpha=74.31 beta=68.21 gamma=68.49
Closest atoms and distances in Å follow each position.
Atoms (fractional coordinates):
Ga (0.8371, 0.2091, 0.1167)  2 Al 2.57, 2 Ga 2.75-2.80
Ga (0.8415, 0.6056, 0.7113)  3 Ga 2.59-2.80, 1 Al 2.72
Ga (0.1618, 0.7890, 0.8874)  3 Ga 2.59-2.75, 1 Al 2.76
Ho (0.4398, 0.8124, 0.3081)  7 Ga 3.08-3.11, 3 Al 3.13
Ho (0.5573, 0.1905, 0.6949)  8 Ga 3.07-3.15, 2 Al 3.14
Al (0.1625, 0.3934, 0.2816)  4 Ga 2.57-2.76

=====

[4]
Material: PrDy2Ag2Sn2
Method: DFT, GGA-PBE
State: relaxed

Unit cell a=4.8912 b=4.8912 c=9.2012 alpha=74.59 beta=74.59 gamma=60.00
Closest atoms and distances in Å follow each position.
Atoms (fractional coordinates):
Pr (0.0000, 0.0000, 0.0000)  6 Sn 3.38, 2 Dy 3.54
Sn (0.2626, 0.2626, 0.2123)  3 Ag 2.97, 3 Dy 3.29
Sn (0.7374, 0.7374, 0.7877)  3 Ag 2.97, 3 Dy 3.29
Dy (0.1348, 0.1348, 0.5956)  3 Ag 2.92
Dy (0.8652, 0.8652, 0.4044)  3 Ag 2.92
Ag (0.4392, 0.4392, 0.6823)  3 Dy 2.92, 3 Sn 2.97, 1 Ag 3.19
Ag (0.5608, 0.5608, 0.3177)  3 Dy 2.92, 3 Sn 2.97, 1 Ag 3.19

=====

[5]
Material: Cd2TcOs
Method: DFT, GGA-PBE
State: relaxed

Unit cell a=5.5993 b=5.5993 c=5.5993 alpha=148.99 beta=130.61 gamma=59.47
Closest atoms and distances in Å follow each position.
Atoms (fractional coordinates):
Tc (0.2500, 0.7500, 0.5000)  4 Os 2.78, 4 Cd 2.88, 2 Tc 2.99
Cd (0.9976, 0.9976, 0.0000)  6 Cd 2.78-2.99, 2 Os 2.83, 2 Tc 2.88
Cd (0.5024, 0.5024, 0.0000)  6 Cd 2.78-2.99, 2 Os 2.83, 2 Tc 2.88
Os (0.7500, 0.2500, 0.5000)  4 Tc 2.78, 4 Cd 2.83, 2 Os 2.99

=====

no.,spin magnetization (μB/cell),VASP energy (eV per atom)
1,0.0,-4.099
2,1.4,-3.588
3,0.0,-4.260
4,0.0,-4.406
5,0.0,-5.215